Entry 1:
Computed, not measured: a geometry-optimized TlHg2PdPb structure at the GGA-PBE level of DFT.

symmetry = P4/mmm, No. 123
ΔE_f = 0.024 eV per atom
final energy = -11.8 eV/cell
magnetization = 0.00 μB/cell

Geometry as extended XYZ:
```
5
Lattice="5.3240 0.0000 0.0000 0.0000 5.3240 0.0000 0.0000 0.0000 5.2871" Properties=species:S:1:pos:R:3 pbc="T T T"
Tl 0.0000 0.0000 0.0000
Hg 0.0000 2.6620 2.6436
Hg 2.6620 0.0000 2.6436
Pd 2.6620 2.6620 2.6436
Pb 2.6620 2.6620 0.0000
```

---

Entry 2:
Computed, not measured: a geometry-optimized PrSm2Pt2 structure at the GGA-PBE level of DFT.

symmetry = C2/m, No. 12
ΔE_f = -0.793 eV per atom
final energy = -60.5 eV/cell
magnetization = 0.00 μB/cell
excess energy over the best structure of this formula in the dataset = 0.73 eV per formula unit

Geometry as extended XYZ:
```
10
Lattice="6.7849 0.0000 0.0000 0.0000 6.7840 0.0000 -3.2848 0.0000 5.9070" Properties=species:S:1:pos:R:3 pbc="T T T"
Pr 0.0000 0.0000 0.0000
Pr 3.3925 3.3920 0.0000
Sm -1.6424 1.7026 2.9535
Sm -1.6424 5.0815 2.9535
Sm 1.7500 1.6894 2.9535
Sm 1.7500 5.0946 2.9535
Pt 0.0602 3.3920 1.3212
Pt 0.0474 0.0000 4.5857
Pt 3.4527 0.0000 1.3212
Pt 3.4399 3.3920 4.5857
```

---

Entry 3:
Computed, not measured: a geometry-optimized BeZnBr3 structure at the GGA-PBE level of DFT.

symmetry = Pm-3m, No. 221
raw formation energy = 0.19 eV per atom
final energy = -9.1 eV/cell
magnetization = 0.98 μB/cell
excess energy over the best structure of this formula in the dataset = 1.85 eV per formula unit

Geometry as extended XYZ:
```
5
Lattice="5.1578 0.0000 0.0000 0.0000 5.1578 0.0000 0.0000 0.0000 5.1578" Properties=species:S:1:pos:R:3 pbc="T T T"
Be 0.0000 0.0000 0.0000
Zn 2.5789 2.5789 2.5789
Br 0.0000 2.5789 2.5789
Br 2.5789 0.0000 2.5789
Br 2.5789 2.5789 0.0000
```

---

Entry 4:
Computed, not measured: a geometry-optimized K2InAu structure at the GGA-PBE level of DFT.

symmetry = Cm, No. 8
ΔE_f = -0.215 eV per atom
final energy = -18.1 eV/cell
magnetization = 0.00 μB/cell

Geometry as extended XYZ:
```
8
Lattice="8.4049 0.0000 0.0000 0.0000 4.8531 0.0000 -2.6925 0.0000 8.1170" Properties=species:S:1:pos:R:3 pbc="T T T"
K 0.0000 0.0000 0.0000
K 0.0100 0.0000 4.4864
K 4.2025 2.4266 0.0000
K 4.2125 2.4266 4.4864
In 2.8069 0.0000 2.2392
In 7.0094 2.4266 2.2392
Au 1.4049 2.4266 2.2522
Au 5.6073 0.0000 2.2522
```

---

Entry 5:
Computed, not measured: a geometry-optimized BaMg2Sb structure at the GGA-PBE level of DFT.

symmetry = C2/m, No. 12
raw formation energy = -0.28 eV per atom
final energy = -20.7 eV/cell
magnetization = 0.00 μB/cell

Geometry as extended XYZ:
```
8
Lattice="10.4008 0.0000 0.0000 0.0000 4.4246 0.0000 -1.9090 0.0000 5.6618" Properties=species:S:1:pos:R:3 pbc="T T T"
Ba 0.0000 0.0000 0.0000
Ba 5.2004 2.2123 0.0000
Mg 1.0005 0.0000 3.7133
Mg 2.2909 2.2123 1.9484
Mg 6.2009 2.2123 3.7133
Mg 7.4913 0.0000 1.9484
Sb -0.9545 2.2123 2.8309
Sb 4.2459 0.0000 2.8309
```

---

Entry 6:
Computed, not measured: a geometry-optimized Tb4Tl3Zn structure at the GGA-PBE level of DFT.

symmetry = Pmm2, No. 25
ΔE_f = -0.296 eV per atom
final energy = -29.3 eV/cell
magnetization = 0.01 μB/cell
excess energy over the best structure of this formula in the dataset = 0.51 eV per formula unit

Geometry as extended XYZ:
```
8
Lattice="3.8657 0.0000 0.0000 0.0000 4.7763 0.0000 0.0000 0.0000 11.9032" Properties=species:S:1:pos:R:3 pbc="T T T"
Tb 0.0000 0.0000 0.0000
Tb 0.0000 2.3881 3.4231
Tb 1.9328 0.0000 5.7018
Tb 1.9328 2.3881 9.4458
Tl 0.0000 0.0000 8.6745
Tl 0.0000 2.3881 6.6060
Tl 1.9328 2.3881 0.7568
Zn 1.9328 0.0000 2.6492
```

---

Which of these has the highest magnetization? BeZnBr3

---

Please write out number 6 again, unchanged.
Computed, not measured: a geometry-optimized Tb4Tl3Zn structure at the GGA-PBE level of DFT.

symmetry = Pmm2, No. 25
ΔE_f = -0.296 eV per atom
final energy = -29.3 eV/cell
magnetization = 0.01 μB/cell
excess energy over the best structure of this formula in the dataset = 0.51 eV per formula unit

Geometry as extended XYZ:
```
8
Lattice="3.8657 0.0000 0.0000 0.0000 4.7763 0.0000 0.0000 0.0000 11.9032" Properties=species:S:1:pos:R:3 pbc="T T T"
Tb 0.0000 0.0000 0.0000
Tb 0.0000 2.3881 3.4231
Tb 1.9328 0.0000 5.7018
Tb 1.9328 2.3881 9.4458
Tl 0.0000 0.0000 8.6745
Tl 0.0000 2.3881 6.6060
Tl 1.9328 2.3881 0.7568
Zn 1.9328 0.0000 2.6492
```